(1)
# La2CuCl

Crystalline La2CuCl at its relaxed geometry (PBEsol, Alexandria via LeMat-Bulk).

Summary:
Uncorrected formation energy = -885 meV/atom
Crystal system = orthorhombic
Final energy = -5.144 eV per atom
Relative energy among the computed polymorphs = 0.0 meV per atom

Unit cell a=4.099 b=4.098 c=5.994 alpha=90.00 beta=90.00 gamma=90.00
Sites, in units of the cell vectors:
La (0.874, 0.500, 0.000)
La (0.375, 0.000, 0.500)
Cu (0.876, 0.500, 0.500)
Cl (0.374, 0.000, 0.000)

(2)
# LaCuCl

Crystalline LaCuCl at its relaxed geometry (PBEsol, Alexandria via LeMat-Bulk).

Summary:
Uncorrected formation energy = -542 meV/atom
Crystal system = trigonal
Final energy = -4.439 eV per atom

Unit cell a=3.838 b=3.838 c=6.215 alpha=90.00 beta=90.00 gamma=120.00
Sites, in units of the cell vectors:
Cl (0.000, 0.000, 0.026)
Cu (0.333, 0.667, 0.639)
La (0.667, 0.333, 0.334)

- What is the final energy in the first record?
  -5.144 eV per atom

- Look up the uncorrected formation energy of the second one.
  -542 meV/atom

- The lowest final energy belongs to which entry?
  La2CuCl